# 1
## TaZnH2 (meta-GGA SCAN)

Data for a PBEsol-optimized structure of TaZnH2.

The final energy comes out at -338.70 eV per cell.

The structure belongs to space group Fm-3m (No. 225); the cell edges are 5.2379, 5.2379 and 5.2379 Å and the angles 90.00°, 90.00° and 90.00°. The inequivalent atoms are Ta at (0.0000, 0.0000, 0.0000), Zn at (0.0000, 0.0000, 0.5000) and H at (0.2500, 0.2500, 0.2500).

# 2
## TaZn3H (meta-GGA SCAN)

Data for a PBEsol-optimized structure of TaZn3H.

The final energy comes out at -109.08 eV per cell.

The structure belongs to space group Pm-3m (No. 221); the cell edges are 3.9286, 3.9286 and 3.9286 Å and the angles 90.00°, 90.00° and 90.00°. The inequivalent atoms are Ta at (0.0000, 0.0000, 0.0000), Zn at (0.0000, 0.5000, 0.5000) and H at (0.5000, 0.5000, 0.5000).

# 3
## ZrTa3H (meta-GGA SCAN)

Data for a PBEsol-optimized structure of ZrTa3H.

The final energy comes out at -233.02 eV per cell.

The structure belongs to space group Pm-3m (No. 221); the cell edges are 4.2666, 4.2666 and 4.2666 Å and the angles 90.00°, 90.00° and 90.00°. The inequivalent atoms are Zr at (0.0000, 0.0000, 0.0000), Ta at (0.0000, 0.5000, 0.5000) and H at (0.5000, 0.5000, 0.5000).

# 4
## ZrTaH2 (meta-GGA SCAN)

Data for a PBEsol-optimized structure of ZrTaH2.

The final energy comes out at -421.46 eV per cell.

The structure belongs to space group I-42d (No. 122); the cell edges are 4.9831, 4.9831 and 7.0894 Å and the angles 90.00°, 90.00° and 90.00°. The inequivalent atoms are Zr at (0.0000, 0.0000, 0.0000), Ta at (0.0000, 0.0000, 0.5000) and H at (0.2298, 0.2500, 0.6250).

# 5
## TbH3 (meta-GGA SCAN)

Data for a PBEsol-optimized structure of TbH3.

The final energy comes out at -359.77 eV per cell.

The structure belongs to space group P-3c1 (No. 165); the cell edges are 6.2634, 6.2634 and 6.4835 Å and the angles 90.00°, 90.00° and 120.00°. The inequivalent atoms are Tb at (0.0000, 0.3364, 0.2500), H at (0.0000, 0.0000, 0.2500), H at (0.0247, 0.3471, 0.5944) and H at (0.3333, 0.6667, 0.3244).

# 6
## TbH3 (meta-GGA SCAN)

Data for a PBEsol-optimized structure of TbH3.

The final energy comes out at -119.86 eV per cell.

The structure belongs to space group P6_3/mmc (No. 194); the cell edges are 3.6306, 3.6306 and 6.4944 Å and the angles 90.00°, 90.00° and 120.00°. The inequivalent atoms are Tb at (0.3333, 0.6667, 0.2500), H at (0.0000, 0.0000, 0.2500) and H at (0.3333, 0.6667, 0.5957).

# 7
## Ti2TcH2 (meta-GGA SCAN)

Data for a PBEsol-optimized structure of Ti2TcH2.

The final energy comes out at -153.57 eV per cell.

The structure belongs to space group I4/mmm (No. 139); the cell edges are 3.1072, 3.1072 and 10.2928 Å and the angles 90.00°, 90.00° and 90.00°. The inequivalent atoms are Ti at (0.0000, 0.0000, 0.1436), Tc at (0.0000, 0.0000, 0.5000) and H at (0.0000, 0.5000, 0.2500).

# 8
## TiTcH2 (meta-GGA SCAN)

Data for a PBEsol-optimized structure of TiTcH2.

The final energy comes out at -235.39 eV per cell.

The structure belongs to space group I-42d (No. 122); the cell edges are 3.9703, 3.9703 and 9.0943 Å and the angles 90.00°, 90.00° and 90.00°. The inequivalent atoms are Ti at (0.0000, 0.0000, 0.0000), Tc at (0.0000, 0.0000, 0.5000) and H at (0.2332, 0.2500, 0.6250).

# 9
## TcHW3 (meta-GGA SCAN)

Data for a PBEsol-optimized structure of TcHW3.

The final energy comes out at -233.62 eV per cell.

The structure belongs to space group Pm-3m (No. 221); the cell edges are 4.6518, 4.6518 and 4.6518 Å and the angles 90.00°, 90.00° and 90.00°. The inequivalent atoms are Tc at (0.0000, 0.0000, 0.0000), H at (0.5000, 0.5000, 0.5000) and W at (0.0000, 0.0000, 0.5000).

# 10
## Tc2H2W (meta-GGA SCAN)

Data for a PBEsol-optimized structure of Tc2H2W.

The final energy comes out at -292.12 eV per cell.

The structure belongs to space group I4/mmm (No. 139); the cell edges are 2.8849, 2.8849 and 11.9030 Å and the angles 90.00°, 90.00° and 90.00°. The inequivalent atoms are Tc at (0.0000, 0.0000, 0.1495), H at (0.0000, 0.5000, 0.2500) and W at (0.0000, 0.0000, 0.5000).

# 11
## YTcHW2 (meta-GGA SCAN)

Data for a PBEsol-optimized structure of YTcHW2.

The final energy comes out at -200.14 eV per cell.

The structure belongs to space group P4/mmm (No. 123); the cell edges are 4.9399, 4.9399 and 3.3645 Å and the angles 90.00°, 90.00° and 90.00°. The inequivalent atoms are Y at (0.0000, 0.0000, 0.0000), Tc at (0.5000, 0.5000, 0.5000), H at (0.5000, 0.5000, 0.0000) and W at (0.0000, 0.5000, 0.5000).

# 12
## ZnTc2H2 (meta-GGA SCAN)

Data for a PBEsol-optimized structure of ZnTc2H2.

The final energy comes out at -179.91 eV per cell.

The structure belongs to space group I4/mmm (No. 139); the cell edges are 3.0820, 3.0820 and 9.7869 Å and the angles 90.00°, 90.00° and 90.00°. The inequivalent atoms are Zn at (0.0000, 0.0000, 0.0000), Tc at (0.0000, 0.0000, 0.3468) and H at (0.0000, 0.5000, 0.2500).